Density functional theory data (PBE-GGA) for AcTbBi after structural relaxation.

- Formation enthalpy at 0 K: -96 kJ/mol of formula units
- Total magnetization: 0.0 μB per cell

Unit cell a=4.3665 b=5.3787 c=5.3787 alpha=120.00 beta=90.00 gamma=90.00
Fractional positions:
Ac: 0.6669 0.3333 0.6667
Tb: 0.1672 0.6667 0.3333
Bi: 0.1659 0.0000 0.0000

Density functional theory data (PBE-GGA) for CdTcBr2 after structural relaxation.

- Final energy: -3.629 eV per atom
- Total magnetization: 1.2 μB per cell

Unit cell a=3.2991 b=4.5364 c=7.8454 alpha=73.32 beta=90.00 gamma=90.00
Fractional positions:
Tc: 0.5000 0.9811 0.6629
Br: 0.0000 0.8559 0.9154
Br: 0.5000 0.1450 0.3332
Cd: 0.0000 0.5180 0.5886

Density functional theory data (PBE-GGA) for AlIn2Mo after structural relaxation.

- Formation enthalpy at 0 K: 89 kJ/mol of formula units
- Total magnetization: 0.0 μB per cell

Unit cell a=4.9079 b=2.9951 c=5.1792 alpha=90.01 beta=90.00 gamma=90.00
Fractional positions:
Mo: 0.0000 0.6250 0.4859
Al: 0.5000 0.6248 0.7598
In: 0.0000 0.1256 0.9651
In: 0.5000 0.1246 0.2893

Density functional theory data (PBE-GGA) for BePtW after structural relaxation.

- Formation enthalpy at 0 K: -33 kJ/mol of formula units
- Total magnetization: 0.0 μB per cell

Unit cell a=2.7504 b=4.7734 c=6.9854 alpha=106.59 beta=101.31 gamma=106.74
Fractional positions:
Be: 0.6133 0.8734 0.0736
Be: 0.0686 0.9829 0.8708
Pt: 0.3842 0.1482 0.3416
Pt: 0.7879 0.7758 0.5214
W: 0.2233 0.4347 0.7301
W: 0.9180 0.4463 0.1110

Density functional theory data (PBE-GGA) for UCd2BiO8 after structural relaxation.

- Final energy: -6.125 eV per atom
- Total magnetization: 0.1 μB per cell

Unit cell a=6.1461 b=6.1461 c=6.1461 alpha=114.21 beta=114.21 gamma=100.35
Fractional positions:
U: 0.2500 0.7500 0.5000
Cd: 0.7500 0.2500 0.5000
Cd: 0.5000 0.5000 0.0000
Bi: 0.0000 0.0000 0.0000
O: 0.3420 0.0255 0.3165
O: 0.2795 0.4777 0.1981
O: 0.2795 0.0814 0.8019
O: 0.7090 0.0255 0.6835
O: 0.9186 0.7205 0.1981
O: 0.9745 0.2910 0.3165
O: 0.9745 0.6580 0.6835
O: 0.5223 0.7205 0.8019

Density functional theory data (PBE-GGA) for LaMg2ScCd4 after structural relaxation.

- Formation enthalpy at 0 K: -221 kJ/mol of formula units
- Total magnetization: 0.0 μB per cell

Unit cell a=5.0746 b=5.0746 c=8.9558 alpha=73.54 beta=73.54 gamma=60.00
Fractional positions:
La: 0.0000 0.0000 0.0000
Mg: 0.7516 0.7516 0.7453
Mg: 0.2484 0.2484 0.2547
Sc: 0.5000 0.5000 0.5000
Cd: 0.3834 0.3834 0.8497
Cd: 0.8697 0.8697 0.3908
Cd: 0.1303 0.1303 0.6092
Cd: 0.6166 0.6166 0.1503

Density functional theory data (PBE-GGA) for Nb2CoAg2 after structural relaxation.

- Formation enthalpy at 0 K: 358 kJ/mol of formula units
- Total magnetization: 0.6 μB per cell

Unit cell a=3.6254 b=3.6254 c=7.5706 alpha=76.15 beta=76.15 gamma=90.00
Fractional positions:
Nb: 0.4193 0.4193 0.1614
Nb: 0.5807 0.5807 0.8386
Co: 0.0000 0.0000 0.0000
Ag: 0.7500 0.2500 0.5000
Ag: 0.2500 0.7500 0.5000

Density functional theory data (PBE-GGA) for MgOs after structural relaxation.

- Formation enthalpy at 0 K: 48 kJ/mol of formula units
- Total magnetization: 0.0 μB per cell

Unit cell a=7.8412 b=7.8412 c=4.5067 alpha=90.00 beta=90.00 gamma=90.00
Fractional positions:
Mg: 0.2139 0.5000 0.0000
Mg: 0.7861 0.5000 0.0000
Mg: 0.5000 0.7861 0.0000
Mg: 0.5000 0.2139 0.0000
Mg: 0.7139 0.0000 0.5000
Mg: 0.2861 0.0000 0.5000
Mg: 0.0000 0.2861 0.5000
Mg: 0.0000 0.7139 0.5000
Os: 0.8415 0.8415 0.0000
Os: 0.8415 0.1585 0.0000
Os: 0.1585 0.8415 0.0000
Os: 0.1585 0.1585 0.0000
Os: 0.3415 0.3415 0.5000
Os: 0.3415 0.6585 0.5000
Os: 0.6585 0.3415 0.5000
Os: 0.6585 0.6585 0.5000

Density functional theory data (PBE-GGA) for KMoPb2 after structural relaxation.

- Formation enthalpy at 0 K: 356 kJ/mol of formula units
- Total magnetization: 4.1 μB per cell

Unit cell a=5.5046 b=5.5046 c=5.5046 alpha=60.00 beta=60.00 gamma=60.00
Fractional positions:
K: 0.5000 0.5000 0.5000
Mo: 0.7500 0.7500 0.7500
Pb: 0.0000 0.0000 0.0000
Pb: 0.2500 0.2500 0.2500

Density functional theory data (PBE-GGA) for Rb2HfSI6 after structural relaxation.

- Final energy: -3.326 eV per atom
- Total magnetization: 0.0 μB per cell

Unit cell a=9.1848 b=9.1848 c=8.4884 alpha=57.25 beta=57.25 gamma=90.00
Fractional positions:
I: 0.2616 0.2616 0.4767
I: 0.7384 0.7384 0.5233
I: 0.2204 0.2204 0.0000
I: 0.7796 0.7796 0.0000
I: 0.7796 0.2204 0.0000
I: 0.2204 0.7796 0.0000
S: 0.5000 0.5000 0.0000
Hf: 0.0000 0.0000 0.0000
Rb: 0.7500 0.2500 0.5000
Rb: 0.2500 0.7500 0.5000

Density functional theory data (PBE-GGA) for DyCuPH after structural relaxation.

- Final energy: -5.202 eV per atom
- Total magnetization: 0.0 μB per cell

Unit cell a=3.7729 b=3.7729 c=7.7577 alpha=90.00 beta=90.00 gamma=90.00
Fractional positions:
Dy: 0.5000 0.0000 0.6722
Dy: 0.0000 0.5000 0.3278
Cu: 0.5000 0.5000 0.0000
Cu: 0.0000 0.0000 0.0000
P: 0.0000 0.5000 0.8069
P: 0.5000 0.0000 0.1931
H: 0.0000 0.0000 0.5000
H: 0.5000 0.5000 0.5000

Density functional theory data (PBE-GGA) for HfZn after structural relaxation.

- Formation enthalpy at 0 K: -27 kJ/mol of formula units
- Total magnetization: 0.0 μB per cell

Unit cell a=10.9005 b=4.6776 c=5.6830 alpha=90.00 beta=90.00 gamma=90.00
Fractional positions:
Hf: 0.9462 0.2500 0.3287
Hf: 0.4462 0.2500 0.1713
Hf: 0.0538 0.7500 0.6713
Hf: 0.5538 0.7500 0.8287
Hf: 0.1831 0.2500 0.9373
Hf: 0.6831 0.2500 0.5627
Hf: 0.8169 0.7500 0.0627
Hf: 0.3169 0.7500 0.4373
Zn: 0.9177 0.2500 0.8274
Zn: 0.4177 0.2500 0.6726
Zn: 0.0823 0.7500 0.1726
Zn: 0.5823 0.7500 0.3274
Zn: 0.1914 0.2500 0.4402
Zn: 0.6914 0.2500 0.0598
Zn: 0.8086 0.7500 0.5598
Zn: 0.3086 0.7500 0.9402

| no. | D(E_F) (states/eV/atom) |
| --- | --- |
| 1 | 1.5398 |
| 2 | 0.3810 |
| 3 | 0.4785 |
| 4 | 0.5845 |
| 5 | 0.8380 |
| 6 | 0.3876 |
| 7 | 0.9363 |
| 8 | 0.7932 |
| 9 | 0.6930 |
| 10 | 0.0000 |
| 11 | 0.0411 |
| 12 | 0.7554 |